This record from the Alexandria database describes a relaxed Sn2Te2Ir crystal. The functional is GGA-PBE.

It has space group I4/mmm (No. 139), with a = 3.882 Å, b = 3.882 Å, c = 17.741 Å, α = 90.00°, β = 90.00° and γ = 90.00°. The asymmetric unit holds Sn at (0.000, 0.500, 0.250), Te at (0.000, 0.000, 0.080) and Ir at (0.000, 0.000, 0.500).

Its formation energy from raw total energies is 0.65 eV/atom. The value obtained for the distance to the lowest polymorph of the same formula is 402 meV per atom. For the theoretical density, the calculation gives 8.51 g/cm³. The raw total energy comes out at -19.9 eV/f.u.